1.
Crystalline Dy8HgBi2 at its relaxed geometry. Source: the Alexandria database, functional PBE.

Calculated values
Magnetic moment, μB/f.u.: 0.0
Energy relative to the elements, eV/atom: -0.331
Symmetry: C2/m
Uncorrected energy, eV per atom: -4.41

a = 9.424 Å, b = 9.424 Å, c = 7.009 Å
α = 93.54°, β = 93.54°, γ = 31.80°
Fractional coordinates of all 11 atoms:
Dy 0.030 0.030 0.248
Dy 0.212 0.212 0.117
Dy 0.336 0.336 0.592
Dy 0.409 0.409 0.061
Dy 0.591 0.591 0.939
Dy 0.664 0.664 0.408
Dy 0.788 0.788 0.883
Dy 0.970 0.970 0.752
Hg 0.500 0.500 0.500
Bi 0.159 0.159 0.671
Bi 0.841 0.841 0.329

2.
Crystalline TiPtS at its relaxed geometry. Source: the Alexandria database, functional PBE.

Calculated values
Magnetic moment, μB/f.u.: 0.0
Formation energy (no corrections), eV per atom: -0.843
Symmetry: R-3m
Uncorrected energy, eV per atom: -6.86

a = 12.063 Å, b = 12.063 Å, c = 12.063 Å
α = 16.00°, β = 16.00°, γ = 16.00°
Fractional coordinates of all 6 atoms:
Ti 0.078 0.078 0.078
Ti 0.922 0.922 0.922
Pt 0.363 0.363 0.363
Pt 0.637 0.637 0.637
S 0.216 0.216 0.216
S 0.784 0.784 0.784

3.
Crystalline CoNiCl2 at its relaxed geometry. Source: the Alexandria database, functional PBE.

Calculated values
Magnetic moment, μB/f.u.: 2.7
Formation energy (no corrections), eV per atom: 0.243
Energy above the most stable polymorph in this dataset, kJ/mol of formula units: 153
Symmetry: Immm
Uncorrected energy, eV per atom: -3.90

a = 4.955 Å, b = 4.955 Å, c = 4.955 Å
α = 142.77°, β = 101.90°, γ = 89.86°
Fractional coordinates of all 4 atoms:
Co 0.000 0.000 0.000
Ni 0.500 0.500 0.000
Cl 0.255 0.755 0.500
Cl 0.745 0.245 0.500

4.
Crystalline CePm2Ir9 at its relaxed geometry. Source: the Alexandria database, functional PBE.

Calculated values
Magnetic moment, μB/f.u.: 0.0
Energy relative to the elements, eV/atom: -0.561
Symmetry: R-3m
Uncorrected energy, eV per atom: -8.49

a = 9.379 Å, b = 9.379 Å, c = 9.379 Å
α = 33.16°, β = 33.16°, γ = 33.16°
Fractional coordinates of all 12 atoms:
Ce 0.000 0.000 0.000
Pm 0.140 0.140 0.140
Pm 0.860 0.860 0.860
Ir 0.083 0.580 0.580
Ir 0.333 0.333 0.333
Ir 0.420 0.420 0.917
Ir 0.420 0.917 0.420
Ir 0.500 0.500 0.500
Ir 0.580 0.083 0.580
Ir 0.580 0.580 0.083
Ir 0.667 0.667 0.667
Ir 0.917 0.420 0.420

5.
Crystalline InGaFeSb2 at its relaxed geometry. Source: the Alexandria database, functional PBE.

Calculated values
Magnetic moment, μB/f.u.: 0.1
Formation energy (no corrections), eV per atom: 0.844
Symmetry: P4/mmm
Uncorrected energy, eV per atom: -3.65

a = 5.365 Å, b = 5.365 Å, c = 4.505 Å
α = 90.00°, β = 90.00°, γ = 90.00°
Fractional coordinates of all 5 atoms:
In 0.000 0.000 0.000
Ga 0.500 0.500 0.500
Fe 0.500 0.500 0.000
Sb 0.000 0.500 0.500
Sb 0.500 0.000 0.500

6.
Crystalline ZrCrOs3 at its relaxed geometry. Source: the Alexandria database, functional PBE.

Calculated values
Magnetic moment, μB/f.u.: 0.4
Energy above the most stable polymorph in this dataset, kJ/mol of formula units: 897
Energy relative to the elements, eV/atom: 2.824
Symmetry: Pm-3m
Uncorrected energy, eV per atom: -7.55

a = 4.751 Å, b = 4.751 Å, c = 4.751 Å
α = 90.00°, β = 90.00°, γ = 90.00°
Fractional coordinates of all 5 atoms:
Zr 0.000 0.000 0.000
Cr 0.500 0.500 0.500
Os 0.000 0.000 0.500
Os 0.000 0.500 0.000
Os 0.500 0.000 0.000

7.
Crystalline Re3TeAs at its relaxed geometry. Source: the Alexandria database, functional PBE.

Calculated values
Magnetic moment, μB/f.u.: 0.0
Formation energy (no corrections), eV per atom: 1.691
Energy above the most stable polymorph in this dataset, kJ/mol of formula units: 0
Symmetry: Pm-3m
Uncorrected energy, eV per atom: -7.34

a = 4.617 Å, b = 4.617 Å, c = 4.617 Å
α = 90.00°, β = 90.00°, γ = 90.00°
Fractional coordinates of all 5 atoms:
Re 0.000 0.000 0.500
Re 0.000 0.500 0.000
Re 0.500 0.000 0.000
Te 0.500 0.500 0.500
As 0.000 0.000 0.000

8.
Crystalline LiCaScZn at its relaxed geometry. Source: the Alexandria database, functional PBE.

Calculated values
Magnetic moment, μB/f.u.: 0.0
Energy relative to the elements, eV/atom: -0.042
Symmetry: F-43m
Uncorrected energy, eV per atom: -2.92

a = 5.045 Å, b = 5.045 Å, c = 5.045 Å
α = 60.00°, β = 60.00°, γ = 60.00°
Fractional coordinates of all 4 atoms:
Li 0.000 0.000 0.000
Ca 0.250 0.250 0.250
Sc 0.750 0.750 0.750
Zn 0.500 0.500 0.500

9.
Crystalline TbTmNp at its relaxed geometry. Source: the Alexandria database, functional PBE.

Calculated values
Magnetic moment, μB/f.u.: 1.2
Energy relative to the elements, eV/atom: 0.227
Symmetry: C2/m
Uncorrected energy, eV per atom: -7.12

a = 8.544 Å, b = 8.544 Å, c = 5.795 Å
α = 100.83°, β = 100.83°, γ = 23.82°
Fractional coordinates of all 6 atoms:
Tb 0.121 0.121 0.321
Tb 0.879 0.879 0.679
Tm 0.433 0.433 0.207
Tm 0.567 0.567 0.793
Np 0.238 0.238 0.859
Np 0.762 0.762 0.141

10.
Crystalline YI3Cl at its relaxed geometry. Source: the Alexandria database, functional PBE.

Calculated values
Magnetic moment, μB/f.u.: 1.0
Formation energy (no corrections), eV per atom: -0.788
Energy above the most stable polymorph in this dataset, kJ/mol of formula units: 0
Symmetry: Pm-3m
Uncorrected energy, eV per atom: -3.38

a = 6.001 Å, b = 6.001 Å, c = 6.001 Å
α = 90.00°, β = 90.00°, γ = 90.00°
Fractional coordinates of all 5 atoms:
Y 0.000 0.000 0.000
I 0.000 0.000 0.500
I 0.000 0.500 0.000
I 0.500 0.000 0.000
Cl 0.500 0.500 0.500

11.
Crystalline Rb2SrAlH8 at its relaxed geometry. Source: the Alexandria database, functional PBE.

Calculated values
Magnetic moment, μB/f.u.: 0.0
Symmetry: C2/m
Uncorrected energy, eV per atom: -2.98

a = 7.443 Å, b = 7.443 Å, c = 6.668 Å
α = 112.19°, β = 112.19°, γ = 35.82°
Fractional coordinates of all 12 atoms:
Rb 0.206 0.206 0.216
Rb 0.794 0.794 0.784
Sr 0.500 0.500 0.500
Al 0.500 0.500 0.000
H 0.106 0.894 0.000
H 0.124 0.124 0.595
H 0.403 0.403 0.096
H 0.407 0.407 0.739
H 0.593 0.593 0.261
H 0.597 0.597 0.904
H 0.876 0.876 0.405
H 0.894 0.106 0.000

12.
Crystalline PHIr2 at its relaxed geometry. Source: the Alexandria database, functional PBE.

Calculated values
Magnetic moment, μB/f.u.: 0.0
Energy above the most stable polymorph in this dataset, kJ/mol of formula units: 0
Symmetry: I-42d
Uncorrected energy, eV per atom: -6.64

a = 5.585 Å, b = 5.585 Å, c = 5.585 Å
α = 128.99°, β = 128.99°, γ = 75.03°
Fractional coordinates of all 8 atoms:
P 0.000 0.000 0.000
P 0.750 0.250 0.500
H 0.250 0.750 0.500
H 0.500 0.500 0.000
Ir 0.203 0.625 0.078
Ir 0.375 0.453 0.578
Ir 0.547 0.125 0.922
Ir 0.875 0.797 0.422

13.
Crystalline Sr3Se at its relaxed geometry. Source: the Alexandria database, functional PBE.

Calculated values
Magnetic moment, μB/f.u.: 2.0
Formation energy (no corrections), eV per atom: -0.366
Energy above the most stable polymorph in this dataset, kJ/mol of formula units: 210
Symmetry: Pm-3n
Uncorrected energy, eV per atom: -2.50

a = 6.833 Å, b = 6.833 Å, c = 6.833 Å
α = 90.00°, β = 90.00°, γ = 90.00°
Fractional coordinates of all 8 atoms:
Sr 0.000 0.250 0.500
Sr 0.000 0.750 0.500
Sr 0.250 0.500 0.000
Sr 0.500 0.000 0.250
Sr 0.500 0.000 0.750
Sr 0.750 0.500 0.000
Se 0.000 0.000 0.000
Se 0.500 0.500 0.500